Entry 1:
Here is a geometry-optimized Li2InPb4 structure from Alexandria. Energies are from PBE-GGA.

Cell and atoms, written as POSCAR:
```
Li2InPb4
1.0
5.7340 0.0000 0.0000
0.0000 5.7340 0.0000
0.0000 0.0000 12.9962
Li In Pb
4 2 8
Cartesian
0.0000 0.0000 1.7786
0.0000 0.0000 11.2176
2.8670 2.8670 4.7195
2.8670 2.8670 8.2767
0.0000 0.0000 6.4981
2.8670 2.8670 0.0000
0.0000 2.8670 0.0000
0.0000 2.8670 3.2490
0.0000 2.8670 6.4981
0.0000 2.8670 9.7471
2.8670 0.0000 0.0000
2.8670 0.0000 3.2490
2.8670 0.0000 6.4981
2.8670 0.0000 9.7471
```

Output
**Symmetry**: No. 139
**Formation energy**: 0.109 eV/atom
**Energy**: -41.28 eV for the cell shown
**Volume**: 427.3 Å³ per cell
**Total magnetic moment**: 0.000 μB/atom

***

Entry 2:
Here is a geometry-optimized SrTeI2O structure from Alexandria. Energies are from PBE-GGA.

Cell and atoms, written as POSCAR:
```
SrTeI2O
1.0
6.3185 0.0000 0.0000
0.0000 6.3185 0.0000
0.0000 0.0000 4.1823
Sr Te I O
1 1 2 1
Cartesian
0.0000 0.0000 0.0000
3.1592 3.1592 2.0912
0.0000 3.1592 2.0912
3.1592 0.0000 2.0912
3.1592 3.1592 0.0000
```

Output
**Symmetry**: No. 123
**Energy above the lowest structure with this stoichiometry**: 0.000 eV/atom
**Energy**: -16.32 eV for the cell shown
**ΔE_f (raw)**: -0.6871 eV/atom
**Volume**: 167.0 Å³ per cell
**Total magnetic moment**: 0.015 μB/atom